Bi6Pd5Au: relaxed, PBE-GGA.

a b c (Å): 7.722 6.679 6.550
angles (deg): 59.35 82.47 75.10
Fractional coordinates of all 12 atoms:
Bi 0.286 0.899 0.635
Bi 0.207 0.301 0.000
Bi 0.793 0.699 0.000
Bi 0.714 0.101 0.365
Bi 0.286 0.534 0.365
Bi 0.714 0.466 0.635
Pd 0.000 0.293 0.413
Pd 0.000 0.707 0.587
Pd 0.500 0.124 0.752
Pd 0.500 0.876 0.248
Pd 0.500 0.500 0.000
Au 0.000 0.000 0.000

DOS at the Fermi energy ... 5.35 states/eV per cell
Uncorrected energy ... -54.45 eV per cell
Space-group type ... C2/m (12)
ΔH_f (0 K) ... -0.160 eV/atom